## FeSeO5 (PBE with a Hubbard U)

Data for FeSeO5 after structural relaxation.

a = 9.8335 Å, b = 5.7571 Å, c = 8.3310 Å
α = 64.93°, β = 90.00°, γ = 90.00°
Site moments in Bohr magnetons follow the coordinates.
Element x y z (fractional)
O 0.9493 0.3388 0.8226  0.00
O 0.8494 0.5457 0.4793  0.01
O 0.4429 0.9301 0.8920  0.04
O 0.2013 0.8247 0.7641  0.04
O 0.9429 0.0699 0.6080  0.04
O 0.5507 0.3388 0.3226  0.00
O 0.7987 0.1753 0.2359  0.04
O 0.0507 0.6612 0.1774  0.00
O 0.6506 0.5457 0.9793  0.01
O 0.6997 0.8615 0.5609  0.20
O 0.5571 0.0699 0.1080  0.04
Fe 0.3482 0.1035 0.0360  3.55
Se 0.1378 0.7147 0.3228  0.02
Fe 0.6518 0.8965 0.9640  3.55
O 0.7013 0.1753 0.7359  0.04
O 0.0571 0.9301 0.3920  0.04
O 0.1997 0.1385 0.9391  0.20
O 0.8003 0.8615 0.0609  0.20
O 0.3003 0.1385 0.4391  0.20
O 0.4493 0.6612 0.6774  0.00
Fe 0.8482 0.8965 0.4640  3.55
O 0.3494 0.4543 0.0207  0.01
Fe 0.1518 0.1035 0.5360  3.55
O 0.2987 0.8247 0.2641  0.04
Se 0.3622 0.7147 0.8228  0.02
O 0.1506 0.4543 0.5207  0.01
Se 0.8622 0.2853 0.6772  0.02
Se 0.6378 0.2853 0.1772  0.02

Properties
**Space-group type**: P2_1/c (14)
**E above lowest polymorph**: 139 meV/atom
**Total magnetic moment**: 16.0 μB per cell